! LiWF2, optimized geometry, DFT GGA+U; values from VASP
&SYSTEM
  ibrav = 0, nat = 4, ntyp = 3
/
ATOMIC_SPECIES
F 19.00 F.upf
W 183.84 W.upf
Li 6.94 Li.upf
CELL_PARAMETERS angstrom
-2.8924 -2.5932 1.8195
-2.0909 1.2593 3.5276
-4.1753 0.9617 -0.2099
ATOMIC_POSITIONS angstrom
F -2.2897 -0.0931 1.2843
F -6.8690 -0.2792 3.8529
W -4.5793 -0.1861 2.5686
Li 0.0000 0.0000 0.0000
! Total moment in μB/atom: 1.219
! E_tot in eV/f.u.: -15.9
! Crystal system: cubic
! Energy above the lowest structure with this stoichiometry in meV per atom: 943.9
! N(E_F) in states/eV/f.u.: 2.4